# GGA-PBE MnMoRu4, relaxed
data_MnMoRu4
_space_group_name_H-M_alt 'P 1'
_space_group_IT_number 1
_space_group_name_Hall 'P 1'
_cell_length_a 6.434
_cell_length_b 6.688
_cell_length_c 5.284
_cell_angle_alpha 129.27
_cell_angle_beta 102.30
_cell_angle_gamma 90.00
loop_
_atom_site_label
_atom_site_type_symbol
_atom_site_fract_x
_atom_site_fract_y
_atom_site_fract_z
Mn1 Mn 0.333 0.632 0.264
Mn2 Mn 0.667 0.368 0.736
Mo1 Mo 0.317 0.068 0.137
Mo2 Mo 0.683 0.932 0.863
Ru1 Ru 0.971 0.216 0.433
Ru2 Ru 0.665 0.862 0.300
Ru3 Ru 0.000 0.707 0.000
Ru4 Ru 0.335 0.562 0.700
Ru5 Ru 0.029 0.784 0.567
Ru6 Ru 0.335 0.138 0.700
Ru7 Ru 0.000 0.293 0.000
Ru8 Ru 0.665 0.438 0.300
# E_tot ... -9.4438 eV per atom
# ΔE to the lowest computed polymorph ... 0 meV per atom
# Symmetry ... C2/m, No. 12
# DFT formation energy ... 74 meV/atom